# CsGa3W

CsGa3W after structural relaxation (PBE, Alexandria via LeMat-Bulk).

Geometry as CIF:
```
data_CsGa3W
_chemical_formula_sum 'Cs1 Ga3 W1'
_symmetry_space_group_name_H-M 'P 1'
_symmetry_Int_Tables_number 1
_cell_length_a 5.790
_cell_length_b 5.790
_cell_length_c 5.790
_cell_angle_alpha 90.00
_cell_angle_beta 90.00
_cell_angle_gamma 90.00
loop_
_symmetry_equiv_pos_as_xyz
'x,y,z'
loop_
_atom_site_label
_atom_site_fract_x
_atom_site_fract_y
_atom_site_fract_z
Cs1 0.000 0.000 0.000
Ga1 0.000 0.000 0.500
Ga2 0.000 0.500 0.000
Ga3 0.500 0.000 0.000
W1 0.500 0.500 0.500
```

Computed properties:
The distance to the lowest polymorph of the same formula is 2167 meV/atom. As for the space group: Pm-3m.